A plane-wave DFT calculation with PBE was carried out for crystalline ZrZnSb3 at its relaxed geometry.

Cell: 5.543 5.543 5.543 Å, 90.00 90.00 90.00°
Positions (direct):
Zr: 0.000 0.000 0.000
Zn: 0.500 0.500 0.500
Sb: 0.000 0.000 0.500
Sb: 0.000 0.500 0.000
Sb: 0.500 0.000 0.000

## Properties
**SG**: Pm-3m (221)
**D(E_F)**: 9.63 states/eV/cell
**Distance to the lowest polymorph of the same formula**: 0 meV/atom
**Raw formation energy**: 0.330 eV per atom